#i
# Ag3HgBi GGA-PBE relaxed
data_Ag3HgBi
_chemical_formula_sum 'Ag12 Hg4 Bi4'
_cell_length_a 7.833
_cell_length_b 7.952
_cell_length_c 8.569
_cell_angle_alpha 90.00
_cell_angle_beta 123.11
_cell_angle_gamma 90.00
_symmetry_space_group_name_H-M 'P 1 21/c 1'
_symmetry_Int_Tables_number 14
_symmetry_space_group_name_Hall '-P 2ybc'
loop_
_atom_site_label
_atom_site_type_symbol
_atom_site_fract_x
_atom_site_fract_y
_atom_site_fract_z
Ag1 Ag 0.084 0.169 0.006
Ag2 Ag 0.147 0.614 0.323
Ag3 Ag 0.346 0.606 0.729
Hg1 Hg 0.389 0.196 0.910
Bi1 Bi 0.230 0.544 0.017
# DOS(E_F) = 0.25 states/eV/atom



#ii
# Ag3HgBi GGA-PBE relaxed
data_Ag3HgBi
_chemical_formula_sum 'Ag3 Hg1 Bi1'
_cell_length_a 5.475
_cell_length_b 5.475
_cell_length_c 5.475
_cell_angle_alpha 90.00
_cell_angle_beta 90.00
_cell_angle_gamma 90.00
_symmetry_space_group_name_H-M 'P m -3 m'
_symmetry_Int_Tables_number 221
_symmetry_space_group_name_Hall '-P 4 2 3'
loop_
_atom_site_label
_atom_site_type_symbol
_atom_site_fract_x
_atom_site_fract_y
_atom_site_fract_z
Ag1 Ag 0.000 0.000 0.500
Hg1 Hg 0.500 0.500 0.500
Bi1 Bi 0.000 0.000 0.000
# DOS(E_F) = 0.00 states/eV/atom



The structure with the least stability is #ii.



#i
# KAgHg2Bi GGA-PBE relaxed
data_KAgHg2Bi
_chemical_formula_sum 'K1 Ag1 Hg2 Bi1'
_cell_length_a 5.502
_cell_length_b 5.502
_cell_length_c 5.711
_cell_angle_alpha 90.00
_cell_angle_beta 90.00
_cell_angle_gamma 90.00
_symmetry_space_group_name_H-M 'P 4/m m m'
_symmetry_Int_Tables_number 123
_symmetry_space_group_name_Hall '-P 4 2'
loop_
_atom_site_label
_atom_site_type_symbol
_atom_site_fract_x
_atom_site_fract_y
_atom_site_fract_z
K1 K 0.000 0.000 0.000
Ag1 Ag 0.500 0.500 0.500
Hg1 Hg 0.000 0.500 0.500
Bi1 Bi 0.500 0.500 0.000
# DOS(E_F) = 0.88 states/eV/atom



#ii
# KAgHg2Bi GGA-PBE relaxed
data_KAgHg2Bi
_chemical_formula_sum 'K1 Ag1 Hg2 Bi1'
_cell_length_a 5.995
_cell_length_b 5.995
_cell_length_c 5.602
_cell_angle_alpha 90.00
_cell_angle_beta 90.00
_cell_angle_gamma 90.00
_symmetry_space_group_name_H-M 'P 4/m m m'
_symmetry_Int_Tables_number 123
_symmetry_space_group_name_Hall '-P 4 2'
loop_
_atom_site_label
_atom_site_type_symbol
_atom_site_fract_x
_atom_site_fract_y
_atom_site_fract_z
K1 K 0.000 0.000 0.000
Ag1 Ag 0.500 0.500 0.000
Hg1 Hg 0.000 0.500 0.500
Bi1 Bi 0.500 0.500 0.500
# DOS(E_F) = 0.35 states/eV/atom



The structure with the least stability is #ii.



#i
# Ho4AgBi GGA-PBE relaxed
data_Ho4AgBi
_chemical_formula_sum 'Ho64 Ag16 Bi16'
_cell_length_a 14.012
_cell_length_b 14.012
_cell_length_c 14.012
_cell_angle_alpha 90.00
_cell_angle_beta 90.00
_cell_angle_gamma 90.00
_symmetry_space_group_name_H-M 'F -4 3 m'
_symmetry_Int_Tables_number 216
_symmetry_space_group_name_Hall 'F -4 2 3'
loop_
_atom_site_label
_atom_site_type_symbol
_atom_site_fract_x
_atom_site_fract_y
_atom_site_fract_z
Ho1 Ho 0.000 0.000 0.184
Ho2 Ho 0.063 0.250 0.250
Ho3 Ho 0.136 0.136 0.636
Ag1 Ag 0.151 0.151 0.849
Bi1 Bi 0.095 0.095 0.405
# DOS(E_F) = 0.87 states/eV/atom



#ii
# Ho4AgBi GGA-PBE relaxed
data_Ho4AgBi
_chemical_formula_sum 'Ho16 Ag4 Bi4'
_cell_length_a 5.565
_cell_length_b 20.567
_cell_length_c 6.406
_cell_angle_alpha 90.00
_cell_angle_beta 90.00
_cell_angle_gamma 90.00
_symmetry_space_group_name_H-M 'C m c m'
_symmetry_Int_Tables_number 63
_symmetry_space_group_name_Hall '-C 2c 2'
loop_
_atom_site_label
_atom_site_type_symbol
_atom_site_fract_x
_atom_site_fract_y
_atom_site_fract_z
Ho1 Ho 0.000 0.056 0.250
Ho2 Ho 0.000 0.206 0.003
Ho3 Ho 0.000 0.378 0.250
Ag1 Ag 0.000 0.081 0.750
Bi1 Bi 0.000 0.351 0.750
# DOS(E_F) = 1.07 states/eV/atom



The structure with the least stability is #ii.



#i
# AgBiI3 GGA-PBE relaxed
data_AgBiI3
_chemical_formula_sum 'Ag4 Bi4 I12'
_cell_length_a 15.993
_cell_length_b 4.104
_cell_length_c 12.908
_cell_angle_alpha 90.00
_cell_angle_beta 110.43
_cell_angle_gamma 90.00
_symmetry_space_group_name_H-M 'C 1 2/m 1'
_symmetry_Int_Tables_number 12
_symmetry_space_group_name_Hall '-C 2y'
loop_
_atom_site_label
_atom_site_type_symbol
_atom_site_fract_x
_atom_site_fract_y
_atom_site_fract_z
Ag1 Ag 0.130 0.000 0.370
Bi1 Bi 0.025 0.500 0.704
I1 I 0.119 0.500 0.195
I2 I 0.151 0.000 0.878
I3 I 0.152 0.500 0.551
# DOS(E_F) = 0.32 states/eV/atom



#ii
# AgBiI3 GGA-PBE relaxed
data_AgBiI3
_chemical_formula_sum 'Ag1 Bi1 I3'
_cell_length_a 6.178
_cell_length_b 6.178
_cell_length_c 6.178
_cell_angle_alpha 90.00
_cell_angle_beta 90.00
_cell_angle_gamma 90.00
_symmetry_space_group_name_H-M 'P m -3 m'
_symmetry_Int_Tables_number 221
_symmetry_space_group_name_Hall '-P 4 2 3'
loop_
_atom_site_label
_atom_site_type_symbol
_atom_site_fract_x
_atom_site_fract_y
_atom_site_fract_z
Ag1 Ag 0.000 0.000 0.000
Bi1 Bi 0.500 0.500 0.500
I1 I 0.000 0.500 0.500
# DOS(E_F) = 1.19 states/eV/atom



The structure with the least stability is #ii.



#i
# Ag2BiI2 GGA-PBE relaxed
data_Ag2BiI2
_chemical_formula_sum 'Ag4 Bi2 I4'
_cell_length_a 4.080
_cell_length_b 4.080
_cell_length_c 19.645
_cell_angle_alpha 90.00
_cell_angle_beta 90.00
_cell_angle_gamma 90.00
_symmetry_space_group_name_H-M 'I 4/m m m'
_symmetry_Int_Tables_number 139
_symmetry_space_group_name_Hall '-I 4 2'
loop_
_atom_site_label
_atom_site_type_symbol
_atom_site_fract_x
_atom_site_fract_y
_atom_site_fract_z
Ag1 Ag 0.000 0.500 0.250
Bi1 Bi 0.000 0.000 0.000
I1 I 0.000 0.000 0.359
# DOS(E_F) = 0.46 states/eV/atom



#ii
# Ag2BiI2 GGA-PBE relaxed
data_Ag2BiI2
_chemical_formula_sum 'Ag4 Bi2 I4'
_cell_length_a 8.919
_cell_length_b 8.919
_cell_length_c 3.835
_cell_angle_alpha 90.00
_cell_angle_beta 90.00
_cell_angle_gamma 90.00
_symmetry_space_group_name_H-M 'P 4/m b m'
_symmetry_Int_Tables_number 127
_symmetry_space_group_name_Hall '-P 4 2ab'
loop_
_atom_site_label
_atom_site_type_symbol
_atom_site_fract_x
_atom_site_fract_y
_atom_site_fract_z
Ag1 Ag 0.111 0.389 0.000
Bi1 Bi 0.000 0.000 0.500
I1 I 0.197 0.697 0.500
# DOS(E_F) = 0.56 states/eV/atom



The structure with the least stability is #ii.



#i
# AgBiIO2 GGA-PBE relaxed
data_AgBiIO2
_chemical_formula_sum 'Ag1 Bi1 I1 O2'
_cell_length_a 4.262
_cell_length_b 4.262
_cell_length_c 6.897
_cell_angle_alpha 90.00
_cell_angle_beta 90.00
_cell_angle_gamma 90.00
_symmetry_space_group_name_H-M 'P 4/m m m'
_symmetry_Int_Tables_number 123
_symmetry_space_group_name_Hall '-P 4 2'
loop_
_atom_site_label
_atom_site_type_symbol
_atom_site_fract_x
_atom_site_fract_y
_atom_site_fract_z
Ag1 Ag 0.000 0.000 0.000
Bi1 Bi 0.500 0.500 0.500
I1 I 0.500 0.500 0.000
O1 O 0.000 0.500 0.500
# DOS(E_F) = 0.12 states/eV/atom



#ii
# AgBiIO2 GGA-PBE relaxed
data_AgBiIO2
_chemical_formula_sum 'Ag1 Bi1 I1 O2'
_cell_length_a 4.425
_cell_length_b 4.425
_cell_length_c 5.204
_cell_angle_alpha 90.00
_cell_angle_beta 90.00
_cell_angle_gamma 90.00
_symmetry_space_group_name_H-M 'P 4/m m m'
_symmetry_Int_Tables_number 123
_symmetry_space_group_name_Hall '-P 4 2'
loop_
_atom_site_label
_atom_site_type_symbol
_atom_site_fract_x
_atom_site_fract_y
_atom_site_fract_z
Ag1 Ag 0.000 0.000 0.000
Bi1 Bi 0.500 0.500 0.500
I1 I 0.000 0.000 0.500
O1 O 0.000 0.500 0.000
# DOS(E_F) = 0.55 states/eV/atom



The structure with the least stability is #ii.



#i
# AgBiI2O GGA-PBE relaxed
data_AgBiI2O
_chemical_formula_sum 'Ag1 Bi1 I2 O1'
_cell_length_a 5.878
_cell_length_b 5.878
_cell_length_c 4.000
_cell_angle_alpha 90.00
_cell_angle_beta 90.00
_cell_angle_gamma 90.00
_symmetry_space_group_name_H-M 'P 4/m m m'
_symmetry_Int_Tables_number 123
_symmetry_space_group_name_Hall '-P 4 2'
loop_
_atom_site_label
_atom_site_type_symbol
_atom_site_fract_x
_atom_site_fract_y
_atom_site_fract_z
Ag1 Ag 0.000 0.000 0.000
Bi1 Bi 0.500 0.500 0.500
I1 I 0.000 0.500 0.000
O1 O 0.000 0.000 0.500
# DOS(E_F) = 1.42 states/eV/atom



#ii
# AgBiI2O GGA-PBE relaxed
data_AgBiI2O
_chemical_formula_sum 'Ag1 Bi1 I2 O1'
_cell_length_a 6.267
_cell_length_b 6.267
_cell_length_c 4.306
_cell_angle_alpha 90.00
_cell_angle_beta 90.00
_cell_angle_gamma 90.00
_symmetry_space_group_name_H-M 'P 4/m m m'
_symmetry_Int_Tables_number 123
_symmetry_space_group_name_Hall '-P 4 2'
loop_
_atom_site_label
_atom_site_type_symbol
_atom_site_fract_x
_atom_site_fract_y
_atom_site_fract_z
Ag1 Ag 0.000 0.000 0.000
Bi1 Bi 0.500 0.500 0.500
I1 I 0.000 0.500 0.500
O1 O 0.500 0.500 0.000
# DOS(E_F) = 0.26 states/eV/atom



The structure with the least stability is #i.



#i
This record from the Alexandria database describes Rb2AgBiI6 after structural relaxation. The functional is GGA-PBE.

CIF file:
```
data_Rb2AgBiI6
_chemical_formula_sum 'Rb4 Ag2 Bi2 I12'
_cell_length_a 8.382
_cell_length_b 8.669
_cell_length_c 14.563
_cell_angle_alpha 90.00
_cell_angle_beta 124.90
_cell_angle_gamma 90.00
_symmetry_space_group_name_H-M 'P 1 21/c 1'
_symmetry_Int_Tables_number 14
_symmetry_space_group_name_Hall '-P 2ybc'
loop_
_atom_site_label
_atom_site_type_symbol
_atom_site_fract_x
_atom_site_fract_y
_atom_site_fract_z
Rb1 Rb 0.224 0.075 0.248
Ag1 Ag 0.000 0.000 0.500
Bi1 Bi 0.500 0.000 0.000
I1 I 0.156 0.203 0.957
I2 I 0.261 0.700 0.961
I3 I 0.330 0.008 0.746
```



#ii
This record from the Alexandria database describes Rb2AgBiI6 after structural relaxation. The functional is GGA-PBE.

CIF file:
```
data_Rb2AgBiI6
_chemical_formula_sum 'Rb8 Ag4 Bi4 I24'
_cell_length_a 12.187
_cell_length_b 12.187
_cell_length_c 12.187
_cell_angle_alpha 90.00
_cell_angle_beta 90.00
_cell_angle_gamma 90.00
_symmetry_space_group_name_H-M 'F m -3 m'
_symmetry_Int_Tables_number 225
_symmetry_space_group_name_Hall '-F 4 2 3'
loop_
_atom_site_label
_atom_site_type_symbol
_atom_site_fract_x
_atom_site_fract_y
_atom_site_fract_z
Rb1 Rb 0.250 0.250 0.250
Ag1 Ag 0.000 0.000 0.000
Bi1 Bi 0.000 0.000 0.500
I1 I 0.000 0.000 0.247
```



The structure with the least stability is #ii.



#i
# AgBiSbI2 GGA-PBE relaxed
data_AgBiSbI2
_chemical_formula_sum 'Ag1 Bi1 Sb1 I2'
_cell_length_a 6.155
_cell_length_b 6.155
_cell_length_c 6.035
_cell_angle_alpha 90.00
_cell_angle_beta 90.00
_cell_angle_gamma 90.00
_symmetry_space_group_name_H-M 'P 4/m m m'
_symmetry_Int_Tables_number 123
_symmetry_space_group_name_Hall '-P 4 2'
loop_
_atom_site_label
_atom_site_type_symbol
_atom_site_fract_x
_atom_site_fract_y
_atom_site_fract_z
Ag1 Ag 0.000 0.000 0.000
Bi1 Bi 0.500 0.500 0.500
Sb1 Sb 0.500 0.500 0.000
I1 I 0.000 0.500 0.500
# DOS(E_F) = 0.71 states/eV/atom



#ii
# AgBiSbI2 GGA-PBE relaxed
data_AgBiSbI2
_chemical_formula_sum 'Ag1 Bi1 Sb1 I2'
_cell_length_a 5.541
_cell_length_b 5.541
_cell_length_c 5.573
_cell_angle_alpha 90.00
_cell_angle_beta 90.00
_cell_angle_gamma 90.00
_symmetry_space_group_name_H-M 'P 4/m m m'
_symmetry_Int_Tables_number 123
_symmetry_space_group_name_Hall '-P 4 2'
loop_
_atom_site_label
_atom_site_type_symbol
_atom_site_fract_x
_atom_site_fract_y
_atom_site_fract_z
Ag1 Ag 0.000 0.000 0.000
Bi1 Bi 0.500 0.500 0.500
Sb1 Sb 0.000 0.000 0.500
I1 I 0.000 0.500 0.000
# DOS(E_F) = 0.84 states/eV/atom



The structure with the least stability is #i.



#i
# In2AgBi2 GGA-PBE relaxed
data_In2AgBi2
_chemical_formula_sum 'In4 Ag2 Bi4'
_cell_length_a 4.138
_cell_length_b 4.138
_cell_length_c 17.141
_cell_angle_alpha 90.00
_cell_angle_beta 90.00
_cell_angle_gamma 90.00
_symmetry_space_group_name_H-M 'I 4/m m m'
_symmetry_Int_Tables_number 139
_symmetry_space_group_name_Hall '-I 4 2'
loop_
_atom_site_label
_atom_site_type_symbol
_atom_site_fract_x
_atom_site_fract_y
_atom_site_fract_z
In1 In 0.000 0.500 0.250
Ag1 Ag 0.000 0.000 0.000
Bi1 Bi 0.000 0.000 0.411
# DOS(E_F) = 0.62 states/eV/atom



#ii
# In2AgBi2 GGA-PBE relaxed
data_In2AgBi2
_chemical_formula_sum 'In4 Ag2 Bi4'
_cell_length_a 7.702
_cell_length_b 7.702
_cell_length_c 5.124
_cell_angle_alpha 90.00
_cell_angle_beta 90.00
_cell_angle_gamma 90.00
_symmetry_space_group_name_H-M 'P 4/m b m'
_symmetry_Int_Tables_number 127
_symmetry_space_group_name_Hall '-P 4 2ab'
loop_
_atom_site_label
_atom_site_type_symbol
_atom_site_fract_x
_atom_site_fract_y
_atom_site_fract_z
In1 In 0.166 0.334 0.000
Ag1 Ag 0.000 0.000 0.500
Bi1 Bi 0.147 0.647 0.500
# DOS(E_F) = 0.60 states/eV/atom



The structure with the least stability is #i.



#i
# KInAgBi GGA-PBE relaxed
data_KInAgBi
_chemical_formula_sum 'K2 In2 Ag2 Bi2'
_cell_length_a 5.341
_cell_length_b 5.341
_cell_length_c 8.175
_cell_angle_alpha 90.00
_cell_angle_beta 90.00
_cell_angle_gamma 90.00
_symmetry_space_group_name_H-M 'P 4/n m m'
_symmetry_Int_Tables_number 129
loop_
_symmetry_equiv_pos_as_xyz
'x,y,z'
'-x,-y,-z'
'-y+1/2,x,z'
'y+1/2,-x,-z'
'-x+1/2,-y+1/2,z'
'x+1/2,y+1/2,-z'
'y,-x+1/2,z'
'-y,x+1/2,-z'
'x+1/2,-y,-z'
'-x+1/2,y,z'
'-y,-x,-z'
'y,x,z'
'-x,y+1/2,-z'
'x,-y+1/2,z'
'y+1/2,x+1/2,-z'
'-y+1/2,-x+1/2,z'
loop_
_atom_site_label
_atom_site_type_symbol
_atom_site_fract_x
_atom_site_fract_y
_atom_site_fract_z
K1 K 0.250 0.250 0.236
In1 In 0.250 0.750 0.500
Ag1 Ag 0.250 0.750 0.000
Bi1 Bi 0.250 0.250 0.784
# DOS(E_F) = 0.23 states/eV/atom



#ii
# KInAgBi GGA-PBE relaxed
data_KInAgBi
_chemical_formula_sum 'K4 In4 Ag4 Bi4'
_cell_length_a 7.747
_cell_length_b 7.747
_cell_length_c 7.747
_cell_angle_alpha 90.00
_cell_angle_beta 90.00
_cell_angle_gamma 90.00
_symmetry_space_group_name_H-M 'F -4 3 m'
_symmetry_Int_Tables_number 216
_symmetry_space_group_name_Hall 'F -4 2 3'
loop_
_atom_site_label
_atom_site_type_symbol
_atom_site_fract_x
_atom_site_fract_y
_atom_site_fract_z
K1 K 0.000 0.000 0.000
In1 In 0.250 0.250 0.250
Ag1 Ag 0.250 0.250 0.750
Bi1 Bi 0.000 0.000 0.500
# DOS(E_F) = 0.31 states/eV/atom



The structure with the least stability is #ii.



#i
# PuInAgBi GGA-PBE relaxed
data_PuInAgBi
_chemical_formula_sum 'Pu4 In4 Ag4 Bi4'
_cell_length_a 7.488
_cell_length_b 7.488
_cell_length_c 7.488
_cell_angle_alpha 90.00
_cell_angle_beta 90.00
_cell_angle_gamma 90.00
_symmetry_space_group_name_H-M 'F -4 3 m'
_symmetry_Int_Tables_number 216
_symmetry_space_group_name_Hall 'F -4 2 3'
loop_
_atom_site_label
_atom_site_type_symbol
_atom_site_fract_x
_atom_site_fract_y
_atom_site_fract_z
Pu1 Pu 0.000 0.000 0.000
In1 In 0.000 0.000 0.500
Ag1 Ag 0.250 0.250 0.750
Bi1 Bi 0.250 0.250 0.250
# DOS(E_F) = 3.36 states/eV/atom



#ii
# PuInAgBi GGA-PBE relaxed
data_PuInAgBi
_chemical_formula_sum 'Pu1 In1 Ag1 Bi1'
_cell_length_a 4.427
_cell_length_b 4.604
_cell_length_c 5.005
_cell_angle_alpha 90.00
_cell_angle_beta 90.00
_cell_angle_gamma 90.00
_symmetry_space_group_name_H-M 'P m m m'
_symmetry_Int_Tables_number 47
_symmetry_space_group_name_Hall '-P 2 2'
loop_
_atom_site_label
_atom_site_type_symbol
_atom_site_fract_x
_atom_site_fract_y
_atom_site_fract_z
Pu1 Pu 0.000 0.000 0.000
In1 In 0.500 0.000 0.500
Ag1 Ag 0.000 0.500 0.500
Bi1 Bi 0.500 0.500 0.000
# DOS(E_F) = 2.89 states/eV/atom



The structure with the least stability is #i.